A plane-wave DFT calculation with GGA-PBE was carried out for an optimized crystal structure of RbNa2GaSn.

a = 5.9940 Å, b = 5.9940 Å, c = 5.6077 Å
α = 90.00°, β = 90.00°, γ = 90.00°
Closest atoms and distances in Å follow each position.
Element x y z (fractional)
Na1 0.0000 0.5000 0.0000  2 Sn 3.00
Na2 0.5000 0.0000 0.0000  2 Sn 3.00
Ga1 0.0000 0.0000 0.5000  2 Sn 2.80
Sn1 0.0000 0.0000 0.0000  2 Ga 2.80, 4 Na 3.00
Rb1 0.5000 0.5000 0.5000  8 Na 4.10, 4 Ga 4.24

As for the total magnetic moment: 0.000 μB/atom. The value obtained for the formation enthalpy at 0 K is 0.002 eV per atom. The space-group type is P4/mmm, No. 123.